Here is a relaxed Th4FePb2 crystal from Alexandria via LeMat-Bulk. Energies are from PBE.

a b c (Å): 6.3457 6.7717 10.4890
angles (deg): 90.00 114.98 90.00
Positions (direct):
Fe 0.8251 0.2500 0.8278
Th 0.4939 0.9883 0.7388
Pb 0.2972 0.2500 0.9468
Th 0.5061 0.0117 0.2612
Th 0.8835 0.2500 0.6070
Th 0.1165 0.7500 0.3930
Th 0.9000 0.2500 0.0861
Pb 0.7028 0.7500 0.0532
Fe 0.1749 0.7500 0.1722
Th 0.1000 0.7500 0.9139
Pb 0.2298 0.2500 0.4345
Th 0.4939 0.5117 0.7388
Th 0.5061 0.4883 0.2612
Pb 0.7702 0.7500 0.5655

Excess energy over the best structure of this formula in the dataset: 3.3 kJ per mole of atoms